A plane-wave DFT calculation with GGA-PBE was carried out for crystalline LiBiHPd2 at its relaxed geometry.

ΔE to the lowest computed polymorph: 50 meV per atom
Density of states at the Fermi level: 1.8 states/eV/f.u.
VASP energy: -41.844 eV per cell
Calculated volume: 14.780 Å³/atom
Total magnetization: 0.0 μB/cell

abc: 5.0157 4.8822 6.0355
angles: 90.00 90.00 90.00
Last column: nearest neighbours and their distance in Å.
Element x y z (fractional)
Li1 0.6801 0.7500 0.0000  2 H 2.02
Li2 0.3199 0.2500 0.0000  2 H 2.02
Bi1 0.2872 0.2500 0.5000  8 Pd 2.88-3.11, 2 Li 3.02
Bi2 0.7128 0.7500 0.5000  8 Pd 2.88-3.11, 2 Li 3.02
H1 0.0000 0.0000 0.0000  2 Li 2.02, 4 Pd 2.07
H2 0.0000 0.5000 0.0000  2 Li 2.02, 4 Pd 2.07
Pd1 0.8151 0.2500 0.7706  2 H 2.07
Pd2 0.8151 0.2500 0.2294  2 H 2.07
Pd3 0.1849 0.7500 0.7706  2 H 2.07
Pd4 0.1849 0.7500 0.2294  2 H 2.07